A plane-wave DFT calculation with GGA-PBE was carried out for crystalline KAcTlIn at its relaxed geometry.

Values from the calculation:
ΔH_f (0 K) = -0.178 eV/atom
symmetry = F-43m
total energy = -2.7557 eV per atom
DOS at the Fermi energy = 2.36 states/eV/f.u.

abc: 5.838 5.838 5.838
angles: 60.00 60.00 60.00
Sites, in units of the cell vectors:
1 K 0.750 0.750 0.750
2 Ac 0.250 0.250 0.250
3 Tl 0.000 0.000 0.000
4 In 0.500 0.500 0.500